No. 1
## Dy5In2Ru2Rh (GGA-PBE)

Data for a relaxed Dy5In2Ru2Rh crystal.

Properties
SG: P4/mbm, No. 127
ΔH_f (0 K): -0.427 eV per atom

a = 11.6621 Å, b = 11.6621 Å, c = 3.4827 Å
α = 90.00°, β = 90.00°, γ = 90.00°
Positions (direct):
Dy  0.0000  0.5000  0.0000
Dy  0.0634  0.1965  0.0000
Dy  0.1965  0.9366  0.0000
Dy  0.3035  0.4366  0.0000
Dy  0.4366  0.6965  0.0000
Dy  0.5000  0.0000  0.0000
Dy  0.5634  0.3035  0.0000
Dy  0.6965  0.5634  0.0000
Dy  0.8035  0.0634  0.0000
Dy  0.9366  0.8035  0.0000
In  0.1819  0.6819  0.5000
In  0.3181  0.1819  0.5000
In  0.6819  0.8181  0.5000
In  0.8181  0.3181  0.5000
Ru  0.1369  0.3631  0.5000
Ru  0.3631  0.8631  0.5000
Ru  0.6369  0.1369  0.5000
Ru  0.8631  0.6369  0.5000
Rh  0.0000  0.0000  0.5000
Rh  0.5000  0.5000  0.5000

=====

No. 2
## DyInRuRh (GGA-PBE)

Data for a relaxed DyInRuRh crystal.

Properties
SG: F-43m, No. 216
ΔH_f (0 K): -0.461 eV per atom

a = 4.6889 Å, b = 4.6889 Å, c = 4.6889 Å
α = 60.00°, β = 60.00°, γ = 60.00°
Positions (direct):
Dy  0.0000  0.0000  0.0000
In  0.5000  0.5000  0.5000
Ru  0.2500  0.2500  0.2500
Rh  0.7500  0.7500  0.7500

=====

No. 3
## Dy4InRu2Rh (GGA-PBE)

Data for a relaxed Dy4InRu2Rh crystal.

Properties
SG: R-3m, No. 166
ΔH_f (0 K): -0.490 eV per atom

a = 8.6065 Å, b = 8.6065 Å, c = 8.6065 Å
α = 33.26°, β = 33.26°, γ = 33.26°
Positions (direct):
Dy  0.1180  0.1180  0.1180
Dy  0.3706  0.3706  0.3706
Dy  0.6294  0.6294  0.6294
Dy  0.8820  0.8820  0.8820
In  0.5000  0.5000  0.5000
Ru  0.2487  0.2487  0.2487
Ru  0.7513  0.7513  0.7513
Rh  0.0000  0.0000  0.0000

=====

No. 4
## DySc2InRh4 (GGA-PBE)

Data for a relaxed DySc2InRh4 crystal.

Properties
SG: R-3m, No. 166
ΔH_f (0 K): -0.870 eV per atom

a = 8.0201 Å, b = 8.0201 Å, c = 8.0201 Å
α = 33.59°, β = 33.59°, γ = 33.59°
Positions (direct):
Dy  0.0000  0.0000  0.0000
Sc  0.2447  0.2447  0.2447
Sc  0.7553  0.7553  0.7553
In  0.5000  0.5000  0.5000
Rh  0.1247  0.1247  0.1247
Rh  0.3763  0.3763  0.3763
Rh  0.6237  0.6237  0.6237
Rh  0.8753  0.8753  0.8753

=====

No. 5
## DyInSi2Rh5 (GGA-PBE)

Data for a relaxed DyInSi2Rh5 crystal.

Properties
SG: P4/mmm, No. 123
Uncorrected formation energy: -0.561 eV/atom

a = 4.5206 Å, b = 4.5206 Å, c = 7.3049 Å
α = 90.00°, β = 90.00°, γ = 90.00°
Positions (direct):
Dy  0.0000  0.0000  0.0000
In  0.0000  0.0000  0.5000
Si  0.5000  0.5000  0.3330
Si  0.5000  0.5000  0.6670
Rh  0.0000  0.5000  0.2677
Rh  0.0000  0.5000  0.7323
Rh  0.5000  0.0000  0.2677
Rh  0.5000  0.0000  0.7323
Rh  0.5000  0.5000  0.0000

=====

No. 6
## Sm2DyIn2Rh5 (GGA-PBE)

Data for a relaxed Sm2DyIn2Rh5 crystal.

Properties
SG: P4/mbm, No. 127
ΔH_f (0 K): -0.536 eV per atom

a = 10.4045 Å, b = 10.4045 Å, c = 3.7389 Å
α = 90.00°, β = 90.00°, γ = 90.00°
Positions (direct):
Sm  0.1700  0.3300  0.0000
Sm  0.3300  0.8300  0.0000
Sm  0.6700  0.1700  0.0000
Sm  0.8300  0.6700  0.0000
Dy  0.0000  0.0000  0.0000
Dy  0.5000  0.5000  0.0000
In  0.1275  0.6275  0.0000
In  0.3725  0.1275  0.0000
In  0.6275  0.8725  0.0000
In  0.8725  0.3725  0.0000
Rh  0.0000  0.5000  0.5000
Rh  0.0643  0.7985  0.5000
Rh  0.2015  0.0643  0.5000
Rh  0.2985  0.5643  0.5000
Rh  0.4357  0.2985  0.5000
Rh  0.5000  0.0000  0.5000
Rh  0.5643  0.7015  0.5000
Rh  0.7015  0.4357  0.5000
Rh  0.7985  0.9357  0.5000
Rh  0.9357  0.2015  0.5000

=====

No. 7
## Dy2Ta2InRh5 (GGA-PBE)

Data for a relaxed Dy2Ta2InRh5 crystal.

Properties
SG: P4/mbm, No. 127
ΔH_f (0 K): -0.411 eV per atom

a = 10.1690 Å, b = 10.1690 Å, c = 3.6980 Å
α = 90.00°, β = 90.00°, γ = 90.00°
Positions (direct):
Dy  0.1764  0.3236  0.0000
Dy  0.3236  0.8236  0.0000
Dy  0.6764  0.1764  0.0000
Dy  0.8236  0.6764  0.0000
Ta  0.1234  0.6234  0.0000
Ta  0.3766  0.1234  0.0000
Ta  0.6234  0.8766  0.0000
Ta  0.8766  0.3766  0.0000
In  0.0000  0.0000  0.0000
In  0.5000  0.5000  0.0000
Rh  0.0000  0.5000  0.5000
Rh  0.0612  0.7902  0.5000
Rh  0.2098  0.0612  0.5000
Rh  0.2902  0.5612  0.5000
Rh  0.4388  0.2902  0.5000
Rh  0.5000  0.0000  0.5000
Rh  0.5612  0.7098  0.5000
Rh  0.7098  0.4388  0.5000
Rh  0.7902  0.9388  0.5000
Rh  0.9388  0.2098  0.5000

=====

No. 8
## TbDyInRh (GGA-PBE)

Data for a relaxed TbDyInRh crystal.

Properties
E above lowest polymorph: 119 meV per atom
SG: F-43m, No. 216
ΔH_f (0 K): -0.554 eV per atom

a = 5.1074 Å, b = 5.1074 Å, c = 5.1074 Å
α = 60.00°, β = 60.00°, γ = 60.00°
Positions (direct):
Tb  0.0000  0.0000  0.0000
Dy  0.5000  0.5000  0.5000
In  0.7500  0.7500  0.7500
Rh  0.2500  0.2500  0.2500